No. 1
Here is NaTe2AuSe4 after structural relaxation from Alexandria. Energies are from PBE-GGA.

a b c (Å): 7.780 6.484 6.484
angles (deg): 63.90 53.13 53.13
Fractional coordinates of all 8 atoms:
Na1 0.000 0.000 0.000
Te1 0.500 0.750 0.250
Te2 0.500 0.250 0.750
Au1 0.000 0.500 0.500
Se1 0.575 0.554 0.871
Se2 0.425 0.129 0.446
Se3 0.000 0.446 0.129
Se4 0.000 0.871 0.554

Values from the calculation:
**Space group**: I-42m
**Energy relative to the elements, uncorrected**: -0.1169 eV per atom
**Magnetization**: 0.000 Bohr magnetons per cell

***

No. 2
Here is Tb3HoEr3Te8 after structural relaxation from Alexandria. Energies are from PBE-GGA.

a b c (Å): 8.655 8.655 8.658
angles (deg): 119.99 90.00 120.00
Fractional coordinates of all 15 atoms:
Tb1 0.000 0.000 0.000
Tb2 0.000 0.500 0.000
Tb3 0.500 0.500 0.000
Ho1 0.000 0.000 0.500
Er1 0.500 0.000 0.500
Er2 0.500 0.500 0.500
Er3 0.000 0.500 0.500
Te1 0.251 0.503 0.254
Te2 0.749 0.497 0.746
Te3 0.745 0.490 0.248
Te4 0.255 0.510 0.752
Te5 0.745 0.003 0.248
Te6 0.255 0.997 0.752
Te7 0.258 0.003 0.248
Te8 0.742 0.997 0.752

Values from the calculation:
**Space group**: R-3m
**Energy relative to the elements, uncorrected**: -1.3466 eV per atom
**Magnetization**: 0.000 Bohr magnetons per cell

***

No. 3
Here is AlCrTc after structural relaxation from Alexandria. Energies are from PBE-GGA.

a b c (Å): 5.027 7.426 8.765
angles (deg): 90.00 90.00 90.00
Fractional coordinates of all 24 atoms:
Al1 0.674 0.428 0.893
Al2 0.326 0.572 0.107
Al3 0.826 0.928 0.107
Al4 0.326 0.072 0.393
Al5 0.174 0.072 0.893
Al6 0.674 0.928 0.607
Al7 0.174 0.572 0.607
Al8 0.826 0.428 0.393
Cr1 0.014 0.231 0.623
Cr2 0.986 0.769 0.377
Cr3 0.486 0.731 0.377
Cr4 0.986 0.269 0.123
Cr5 0.514 0.269 0.623
Cr6 0.014 0.731 0.877
Cr7 0.514 0.769 0.877
Cr8 0.486 0.231 0.123
Tc1 0.670 0.087 0.865
Tc2 0.330 0.913 0.135
Tc3 0.830 0.587 0.135
Tc4 0.330 0.413 0.365
Tc5 0.170 0.413 0.865
Tc6 0.670 0.587 0.635
Tc7 0.170 0.913 0.635
Tc8 0.830 0.087 0.365

Values from the calculation:
**ΔE to the lowest computed polymorph**: 0.241 eV per atom
**Space group**: Pbca
**ΔE_f**: -0.06 eV/atom
**Magnetization**: 0.005 Bohr magnetons per cell

***

No. 4
Here is Sm6Y4Er after structural relaxation from Alexandria. Energies are from PBE-GGA.

a b c (Å): 5.822 5.659 25.787
angles (deg): 90.00 90.00 120.96
Fractional coordinates of all 22 atoms:
Sm1 0.500 0.000 0.000
Sm2 0.500 0.000 0.500
Sm3 0.127 0.254 0.317
Sm4 0.873 0.746 0.683
Sm5 0.873 0.746 0.817
Sm6 0.127 0.254 0.183
Sm7 0.802 0.604 0.397
Sm8 0.198 0.396 0.603
Sm9 0.198 0.396 0.897
Sm10 0.802 0.604 0.103
Sm11 0.455 0.909 0.250
Sm12 0.545 0.091 0.750
Y1 0.849 0.698 0.544
Y2 0.461 0.922 0.123
Y3 0.151 0.302 0.456
Y4 0.539 0.078 0.877
Y5 0.849 0.698 0.956
Y6 0.151 0.302 0.044
Y7 0.539 0.078 0.623
Y8 0.461 0.922 0.377
Er1 0.792 0.583 0.250
Er2 0.208 0.417 0.750

Values from the calculation:
**ΔE to the lowest computed polymorph**: 0.000 eV per atom
**Space group**: Cmcm
**ΔE_f**: 0.12 eV/atom
**Magnetization**: 0.003 Bohr magnetons per cell

***

No. 5
Here is ZrScCdCo after structural relaxation from Alexandria. Energies are from PBE-GGA.

a b c (Å): 4.755 4.755 4.755
angles (deg): 60.00 60.00 60.00
Each line ends with the local moment (μB).
Fractional coordinates of all 4 atoms:
Sc1 0.000 0.000 0.000  -0.16
Co1 0.250 0.250 0.250  1.07
Zr1 0.500 0.500 0.500  -0.18
Cd1 0.750 0.750 0.750  0.01

Values from the calculation:
**ΔE to the lowest computed polymorph**: 0.156 eV per atom
**Space group**: F-43m
**ΔE_f**: -0.10 eV/atom
**Magnetization**: 0.540 Bohr magnetons per cell

***

No. 6
Here is NaPmHoSn after structural relaxation from Alexandria. Energies are from PBE-GGA.

a b c (Å): 5.384 5.384 5.384
angles (deg): 60.00 60.00 60.00
Fractional coordinates of all 4 atoms:
Na1 0.750 0.750 0.750
Ho1 0.500 0.500 0.500
Sn1 0.250 0.250 0.250
Pm1 0.000 0.000 0.000

Values from the calculation:
**Space group**: F-43m
**ΔE_f**: -0.28 eV/atom
**Magnetization**: 0.000 Bohr magnetons per cell